A relaxed Na3FePCO7 crystal. Source: Alexandria, functional PBEsol.

Lattice parameters (Å, degrees): 5.234 6.592 8.876 90.00 90.42 90.00
Sites, in units of the cell vectors:
Na: 0.000 0.000 0.001
Na: 0.000 0.500 0.999
Na: 0.440 0.749 0.164
Na: 0.499 0.002 0.499
Na: 0.501 0.502 0.501
Na: 0.560 0.249 0.836
Fe: 0.029 0.252 0.298
Fe: 0.971 0.752 0.702
P: 0.015 0.251 0.655
P: 0.985 0.751 0.345
C: 0.498 0.251 0.156
C: 0.502 0.751 0.844
O: 0.078 0.564 0.253
O: 0.081 0.939 0.255
O: 0.124 0.747 0.502
O: 0.260 0.750 0.880
O: 0.305 0.252 0.636
O: 0.325 0.250 0.051
O: 0.431 0.254 0.296
O: 0.569 0.754 0.704
O: 0.675 0.750 0.949
O: 0.695 0.752 0.364
O: 0.740 0.250 0.120
O: 0.876 0.247 0.498
O: 0.919 0.439 0.745
O: 0.922 0.064 0.747

## Properties
**E**: -6.83 eV per atom
**Space-group type**: P2_1, No. 4
**Calculated density**: 3.03 g cm⁻³
**Density of states at the Fermi level**: 5.383 states/eV/f.u.
**Total magnetization**: 8.00 μB/cell
**ΔE_f (raw)**: -1.805 eV/atom